No. 1
# MnAs2Ru

MnAs2Ru after structural relaxation (PBE-GGA, Alexandria).

```
data_MnAs2Ru
_cell_length_a 3.697
_cell_length_b 3.697
_cell_length_c 8.906
_cell_angle_alpha 90.00
_cell_angle_beta 90.00
_cell_angle_gamma 90.00
_symmetry_space_group_name_H-M 'I -4 m 2'
_symmetry_Int_Tables_number 119
_symmetry_space_group_name_Hall 'I -4 -2'
loop_
_atom_site_label
_atom_site_type_symbol
_atom_site_fract_x
_atom_site_fract_y
_atom_site_fract_z
Mn1 Mn 0.000 0.000 0.000
As1 As 0.000 0.000 0.500
As2 As 0.000 0.500 0.250
Ru1 Ru 0.000 0.500 0.750
```

Calculated values
**DOS(E_F)**: 0.804 states/eV/atom
**Formation enthalpy at 0 K**: 0.124 eV per atom
**Energy above the most stable polymorph in this dataset**: 0.228 eV/atom
**Calculated density**: 8.35 g/cm³

***

No. 2
# CaMgAl2Os

CaMgAl2Os after structural relaxation (PBE-GGA, Alexandria).

```
data_CaMgAl2Os
_cell_length_a 4.782
_cell_length_b 4.782
_cell_length_c 5.006
_cell_angle_alpha 90.00
_cell_angle_beta 90.00
_cell_angle_gamma 90.00
_symmetry_space_group_name_H-M 'P 4/m m m'
_symmetry_Int_Tables_number 123
_symmetry_space_group_name_Hall '-P 4 2'
loop_
_atom_site_label
_atom_site_type_symbol
_atom_site_fract_x
_atom_site_fract_y
_atom_site_fract_z
Ca1 Ca 0.000 0.000 0.000
Mg1 Mg 0.500 0.500 0.000
Al1 Al 0.000 0.500 0.500
Os1 Os 0.500 0.500 0.500
```

Calculated values
**DOS(E_F)**: 0.279 states/eV/atom
**Formation enthalpy at 0 K**: -0.166 eV per atom
**Calculated density**: 4.48 g/cm³

***

No. 3
# Sm3Y2Tm5

Sm3Y2Tm5 after structural relaxation (PBE-GGA, Alexandria).

```
data_Sm3Y2Tm5
_cell_length_a 12.806
_cell_length_b 16.949
_cell_length_c 6.241
_cell_angle_alpha 90.00
_cell_angle_beta 90.00
_cell_angle_gamma 90.00
_symmetry_space_group_name_H-M 'I b a m'
_symmetry_Int_Tables_number 72
_symmetry_space_group_name_Hall '-I 2 2c'
loop_
_atom_site_label
_atom_site_type_symbol
_atom_site_fract_x
_atom_site_fract_y
_atom_site_fract_z
Sm1 Sm 0.000 0.000 0.250
Sm2 Sm 0.159 0.249 0.000
Y1 Y 0.101 0.156 0.500
Tm1 Tm 0.000 0.500 0.250
Tm2 Tm 0.098 0.345 0.500
Tm3 Tm 0.247 0.500 0.250
```

Calculated values
**DOS(E_F)**: 1.660 states/eV/atom
**Formation enthalpy at 0 K**: 0.348 eV per atom
**Energy above the most stable polymorph in this dataset**: 0.149 eV/atom
**Calculated density**: 7.23 g/cm³

***

No. 4
# Mg3NbSi

Mg3NbSi after structural relaxation (PBE-GGA, Alexandria).

```
data_Mg3NbSi
_cell_length_a 4.938
_cell_length_b 4.938
_cell_length_c 4.938
_cell_angle_alpha 90.00
_cell_angle_beta 90.00
_cell_angle_gamma 90.00
_symmetry_space_group_name_H-M 'P m -3 m'
_symmetry_Int_Tables_number 221
_symmetry_space_group_name_Hall '-P 4 2 3'
loop_
_atom_site_label
_atom_site_type_symbol
_atom_site_fract_x
_atom_site_fract_y
_atom_site_fract_z
Mg1 Mg 0.000 0.000 0.500
Nb1 Nb 0.500 0.500 0.500
Si1 Si 0.000 0.000 0.000
```

Calculated values
**DOS(E_F)**: 1.669 states/eV/atom
**Energy above the most stable polymorph in this dataset**: 0.000 eV/atom
**Calculated density**: 2.67 g/cm³

***

No. 5
# CaNb2CoN4

CaNb2CoN4 after structural relaxation (PBE-GGA, Alexandria).

```
data_CaNb2CoN4
_cell_length_a 3.125
_cell_length_b 10.724
_cell_length_c 10.861
_cell_angle_alpha 90.00
_cell_angle_beta 90.00
_cell_angle_gamma 90.00
_symmetry_space_group_name_H-M 'C m c m'
_symmetry_Int_Tables_number 63
_symmetry_space_group_name_Hall '-C 2c 2'
loop_
_atom_site_label
_atom_site_type_symbol
_atom_site_fract_x
_atom_site_fract_y
_atom_site_fract_z
Ca1 Ca 0.000 0.107 0.250
Nb1 Nb 0.000 0.369 0.053
Co1 Co 0.000 0.159 0.750
N1 N 0.000 0.000 0.000
N2 N 0.000 0.271 0.612
N3 N 0.000 0.439 0.250
```

Calculated values
**DOS(E_F)**: 0.480 states/eV/atom
**Raw total energy**: -277.3 eV per cell
**Calculated density**: 6.22 g/cm³

***

No. 6
# TlVAg2Cl6

TlVAg2Cl6 after structural relaxation (PBE-GGA, Alexandria).

```
data_TlVAg2Cl6
_cell_length_a 6.911
_cell_length_b 6.935
_cell_length_c 7.399
_cell_angle_alpha 90.10
_cell_angle_beta 117.61
_cell_angle_gamma 119.88
_symmetry_space_group_name_H-M 'P 1'
_symmetry_Int_Tables_number 1
loop_
_symmetry_equiv_pos_as_xyz
'x,y,z'
loop_
_atom_site_label
_atom_site_type_symbol
_atom_site_fract_x
_atom_site_fract_y
_atom_site_fract_z
Tl1 Tl 0.000 0.000 0.000
V1 V 0.962 0.481 0.442
Ag1 Ag 0.561 0.279 0.842
Ag2 Ag 0.624 0.814 0.436
Cl1 Cl 0.105 0.453 0.210
Cl2 Cl 0.113 0.266 0.656
Cl3 Cl 0.390 0.846 0.657
Cl4 Cl 0.560 0.110 0.209
Cl5 Cl 0.761 0.653 0.212
Cl6 Cl 0.810 0.542 0.658
```

Calculated values
**DOS(E_F)**: 0.877 states/eV/atom
**Raw total energy**: -36.7 eV per cell
**Calculated density**: 4.37 g/cm³

***

No. 7
# Ce5Ho3Sb8

Ce5Ho3Sb8 after structural relaxation (PBE-GGA, Alexandria).

```
data_Ce5Ho3Sb8
_cell_length_a 8.9016
_cell_length_b 8.9016
_cell_length_c 21.7918
_cell_angle_alpha 90.00
_cell_angle_beta 90.00
_cell_angle_gamma 120.00
_symmetry_space_group_name_H-M 'R -3 m'
_symmetry_Int_Tables_number 166
_symmetry_space_group_name_Hall '-R 3 2"'
loop_
_atom_site_label
_atom_site_type_symbol
_atom_site_fract_x
_atom_site_fract_y
_atom_site_fract_z
Ce1 Ce 0.0000 0.0000 0.0000
Ce2 Ce 0.0000 0.0000 0.5000
Ce3 Ce 0.0000 0.5000 0.0000
Ho1 Ho 0.0000 0.5000 0.5000
Sb1 Sb 0.0000 0.0000 0.2476
Sb2 Sb 0.0036 0.5018 0.7518
```

Calculated values
**DOS(E_F)**: 2.128 states/eV/atom
**Raw total energy**: -280.4 eV per cell
**Calculated density**: 7.23 g/cm³

***

No. 8
# Na2VCoPt

Na2VCoPt after structural relaxation (PBE-GGA, Alexandria).

```
data_Na2VCoPt
_cell_length_a 4.895
_cell_length_b 4.895
_cell_length_c 4.173
_cell_angle_alpha 90.00
_cell_angle_beta 90.00
_cell_angle_gamma 90.00
_symmetry_space_group_name_H-M 'P 4/m m m'
_symmetry_Int_Tables_number 123
_symmetry_space_group_name_Hall '-P 4 2'
loop_
_atom_site_label
_atom_site_type_symbol
_atom_site_fract_x
_atom_site_fract_y
_atom_site_fract_z
Na1 Na 0.000 0.500 0.000
V1 V 0.000 0.000 0.500
Co1 Co 0.000 0.000 0.000
Pt1 Pt 0.500 0.500 0.500
```

Calculated values
**DOS(E_F)**: 1.376 states/eV/atom
**Formation enthalpy at 0 K**: 1.088 eV per atom
**Calculated density**: 5.83 g/cm³

***

No. 9
# HoPaGeAu

HoPaGeAu after structural relaxation (PBE-GGA, Alexandria).

```
data_HoPaGeAu
_cell_length_a 7.190
_cell_length_b 7.190
_cell_length_c 7.190
_cell_angle_alpha 90.00
_cell_angle_beta 90.00
_cell_angle_gamma 90.00
_symmetry_space_group_name_H-M 'F -4 3 m'
_symmetry_Int_Tables_number 216
_symmetry_space_group_name_Hall 'F -4 2 3'
loop_
_atom_site_label
_atom_site_type_symbol
_atom_site_fract_x
_atom_site_fract_y
_atom_site_fract_z
Ho1 Ho 0.000 0.000 0.000
Pa1 Pa 0.000 0.000 0.500
Ge1 Ge 0.250 0.250 0.250
Au1 Au 0.250 0.250 0.750
```

Calculated values
**DOS(E_F)**: 2.061 states/eV/atom
**Formation enthalpy at 0 K**: -0.413 eV per atom
**Calculated density**: 11.90 g/cm³

***

No. 10
# TbSm2Er6

TbSm2Er6 after structural relaxation (PBE-GGA, Alexandria).

```
data_TbSm2Er6
_cell_length_a 6.9202
_cell_length_b 6.9202
_cell_length_c 22.8054
_cell_angle_alpha 90.00
_cell_angle_beta 90.00
_cell_angle_gamma 120.00
_symmetry_space_group_name_H-M 'R 3 m'
_symmetry_Int_Tables_number 160
_symmetry_space_group_name_Hall 'R 3 -2"'
loop_
_atom_site_label
_atom_site_type_symbol
_atom_site_fract_x
_atom_site_fract_y
_atom_site_fract_z
Tb1 Tb 0.0000 0.0000 0.0000
Sm1 Sm 0.0000 0.0000 0.5890
Sm2 Sm 0.0000 0.0000 0.7513
Er1 Er 0.0064 0.5032 0.5567
Er2 Er 0.1693 0.3386 0.1109
```

Calculated values
**DOS(E_F)**: 1.511 states/eV/atom
**Formation enthalpy at 0 K**: 0.386 eV per atom
**Energy above the most stable polymorph in this dataset**: 0.278 eV/atom
**Calculated density**: 7.71 g/cm³

***

No. 11
# Sc2InPt

Sc2InPt after structural relaxation (PBE-GGA, Alexandria).

```
data_Sc2InPt
_cell_length_a 3.5223
_cell_length_b 3.5223
_cell_length_c 25.2449
_cell_angle_alpha 90.00
_cell_angle_beta 90.00
_cell_angle_gamma 120.00
_symmetry_space_group_name_H-M 'R -3 m'
_symmetry_Int_Tables_number 166
_symmetry_space_group_name_Hall '-R 3 2"'
loop_
_atom_site_label
_atom_site_type_symbol
_atom_site_fract_x
_atom_site_fract_y
_atom_site_fract_z
Sc1 Sc 0.0000 0.0000 0.2361
In1 In 0.0000 0.0000 0.0000
Pt1 Pt 0.0000 0.0000 0.5000
```

Calculated values
**DOS(E_F)**: 1.142 states/eV/atom
**Formation enthalpy at 0 K**: -0.634 eV per atom
**Calculated density**: 7.34 g/cm³

***

No. 12
# Tl5Br

Tl5Br after structural relaxation (PBE-GGA, Alexandria).

```
data_Tl5Br
_cell_length_a 6.0146
_cell_length_b 6.0146
_cell_length_c 6.0726
_cell_angle_alpha 90.00
_cell_angle_beta 90.00
_cell_angle_gamma 120.00
_symmetry_space_group_name_H-M 'P -6 2 m'
_symmetry_Int_Tables_number 189
_symmetry_space_group_name_Hall 'P -6 -2'
loop_
_atom_site_label
_atom_site_type_symbol
_atom_site_fract_x
_atom_site_fract_y
_atom_site_fract_z
Tl1 Tl 0.0000 0.6707 0.0000
Tl2 Tl 0.3333 0.6667 0.5000
Br1 Br 0.0000 0.0000 0.5000
```

Calculated values
**DOS(E_F)**: 0.494 states/eV/atom
**Energy above the most stable polymorph in this dataset**: 0.031 eV/atom
**Calculated density**: 9.62 g/cm³

***

Please write out number 10 again, unchanged.
# TbSm2Er6

TbSm2Er6 after structural relaxation (PBE-GGA, Alexandria).

```
data_TbSm2Er6
_cell_length_a 6.9202
_cell_length_b 6.9202
_cell_length_c 22.8054
_cell_angle_alpha 90.00
_cell_angle_beta 90.00
_cell_angle_gamma 120.00
_symmetry_space_group_name_H-M 'R 3 m'
_symmetry_Int_Tables_number 160
_symmetry_space_group_name_Hall 'R 3 -2"'
loop_
_atom_site_label
_atom_site_type_symbol
_atom_site_fract_x
_atom_site_fract_y
_atom_site_fract_z
Tb1 Tb 0.0000 0.0000 0.0000
Sm1 Sm 0.0000 0.0000 0.5890
Sm2 Sm 0.0000 0.0000 0.7513
Er1 Er 0.0064 0.5032 0.5567
Er2 Er 0.1693 0.3386 0.1109
```

Calculated values
**DOS(E_F)**: 1.511 states/eV/atom
**Formation enthalpy at 0 K**: 0.386 eV per atom
**Energy above the most stable polymorph in this dataset**: 0.278 eV/atom
**Calculated density**: 7.71 g/cm³

***

> Among the records above, which one has the highest calculated density?

HoPaGeAu